<a>
Below is MgSi2Pd7 after structural relaxation, with properties calculated at the PBE-GGA level.

Properties
SG = I4/mmm (139)

a b c (Å): 10.161 10.161 10.161
angles (deg): 157.28 157.28 32.36
Element x y z (fractional)
Mg (0.000, 0.000, 0.000)
Si (0.327, 0.327, 0.000)
Si (0.673, 0.673, 0.000)
Pd (0.104, 0.604, 0.500)
Pd (0.250, 0.750, 0.500)
Pd (0.396, 0.896, 0.500)
Pd (0.500, 0.500, 0.000)
Pd (0.604, 0.104, 0.500)
Pd (0.750, 0.250, 0.500)
Pd (0.896, 0.396, 0.500)

---

<b>
Below is MgSi2Pd7 after structural relaxation, with properties calculated at the PBE-GGA level.

Properties
SG = Cmmm (65)

a b c (Å): 6.846 6.846 4.385
angles (deg): 90.00 90.00 115.34
Element x y z (fractional)
Mg (0.000, 0.000, 0.000)
Si (0.300, 0.700, 0.500)
Si (0.700, 0.300, 0.500)
Pd (0.065, 0.318, 0.500)
Pd (0.234, 0.766, 0.000)
Pd (0.318, 0.065, 0.500)
Pd (0.500, 0.500, 0.500)
Pd (0.682, 0.935, 0.500)
Pd (0.766, 0.234, 0.000)
Pd (0.935, 0.682, 0.500)

---

Most stable: <a>

---

<a>
Below is MgSi2Pd8 after structural relaxation, with properties calculated at the PBE-GGA level.

Properties
SG = C2/m (12)

a b c (Å): 6.532 6.532 4.482
angles (deg): 99.04 99.04 111.50
Element x y z (fractional)
Mg (0.000, 0.000, 0.000)
Si (0.319, 0.681, 0.500)
Si (0.681, 0.319, 0.500)
Pd (0.070, 0.326, 0.591)
Pd (0.243, 0.757, 0.000)
Pd (0.326, 0.070, 0.591)
Pd (0.384, 0.384, 0.187)
Pd (0.616, 0.616, 0.813)
Pd (0.674, 0.930, 0.409)
Pd (0.757, 0.243, 0.000)
Pd (0.930, 0.674, 0.409)

---

<b>
Below is MgSi2Pd8 after structural relaxation, with properties calculated at the PBE-GGA level.

Properties
SG = Immm (71)

a b c (Å): 7.243 7.243 7.243
angles (deg): 148.25 122.76 66.95
Element x y z (fractional)
Mg (0.000, 0.000, 0.000)
Si (0.315, 0.315, 0.000)
Si (0.685, 0.685, 0.000)
Pd (0.119, 0.834, 0.285)
Pd (0.146, 0.646, 0.500)
Pd (0.307, 0.500, 0.807)
Pd (0.451, 0.166, 0.285)
Pd (0.549, 0.834, 0.715)
Pd (0.693, 0.500, 0.193)
Pd (0.854, 0.354, 0.500)
Pd (0.881, 0.166, 0.715)

---

Most stable: <a>